# Cs2BiAuI PBE relaxed
# V: 275.5 Å³ per cell
# Crystal system: tetragonal
# Total magnetization: 0.00 μB/cell
# Final energy: -13.23 eV/f.u.
# Raw formation energy: -563 meV per atom
data_Cs2BiAuI
_chemical_formula_sum 'Cs2 Bi1 Au1 I1'
_cell_length_a 7.201
_cell_length_b 7.201
_cell_length_c 5.314
_cell_angle_alpha 90.00
_cell_angle_beta 90.00
_cell_angle_gamma 90.00
_symmetry_space_group_name_H-M 'P 4/m m m'
_symmetry_Int_Tables_number 123
_symmetry_space_group_name_Hall '-P 4 2'
loop_
_atom_site_label
_atom_site_fract_x
_atom_site_fract_y
_atom_site_fract_z
_atom_site_occupancy
Cs1 0.000 0.500 0.000 1
Bi1 0.000 0.000 0.500 1
Au1 0.000 0.000 0.000 1
I1 0.500 0.500 0.500 1


# TaBeN3 PBE relaxed
# V: 40.1 Å³ per cell
# Crystal system: cubic
# Total magnetization: 0.00 μB/cell
# Final energy: -38.05 eV/f.u.
# Raw formation energy: 501 meV per atom
data_TaBeN3
_chemical_formula_sum 'Ta1 Be1 N3'
_cell_length_a 3.422
_cell_length_b 3.422
_cell_length_c 3.422
_cell_angle_alpha 90.00
_cell_angle_beta 90.00
_cell_angle_gamma 90.00
_symmetry_space_group_name_H-M 'P m -3 m'
_symmetry_Int_Tables_number 221
_symmetry_space_group_name_Hall '-P 4 2 3'
loop_
_atom_site_label
_atom_site_fract_x
_atom_site_fract_y
_atom_site_fract_z
_atom_site_occupancy
Ta1 0.000 0.000 0.000 1
Be1 0.500 0.500 0.500 1
N1 0.000 0.500 0.500 1


# CeSi2Pt4 PBE relaxed
# Energy relative to the lowest polymorph listed for this composition: 0 meV/atom
# V: 485.9 Å³ per cell
# Crystal system: orthorhombic
# Total magnetization: 1.03 μB/cell
# Final energy: -46.98 eV/f.u.
# Raw formation energy: -862 meV per atom
data_CeSi2Pt4
_chemical_formula_sum 'Ce4 Si8 Pt16'
_cell_length_a 17.191
_cell_length_b 4.206
_cell_length_c 6.720
_cell_angle_alpha 90.00
_cell_angle_beta 90.00
_cell_angle_gamma 90.00
_symmetry_space_group_name_H-M 'P n m a'
_symmetry_Int_Tables_number 62
loop_
_symmetry_equiv_pos_as_xyz
'x,y,z'
'-x,-y,-z'
'-x+1/2,-y,z+1/2'
'x+1/2,y,-z+1/2'
'x+1/2,-y+1/2,-z+1/2'
'-x+1/2,y+1/2,z+1/2'
'-x,y+1/2,-z'
'x,-y+1/2,z'
loop_
_atom_site_label
_atom_site_fract_x
_atom_site_fract_y
_atom_site_fract_z
_atom_site_occupancy
Ce1 0.141 0.250 0.008 1
Si1 0.034 0.750 0.256 1
Si2 0.204 0.250 0.564 1
Pt1 0.026 0.750 0.875 1
Pt2 0.063 0.250 0.483 1
Pt3 0.169 0.750 0.351 1
Pt4 0.220 0.750 0.760 1